[1]
Nd6Os2Br3Cl after structural relaxation. Source: Alexandria via LeMat-Bulk, functional PBE.

Cell: 7.2932 7.2932 8.1176 Å, 98.53 98.53 119.99°
Fractional coordinates of all 12 atoms:
Br (0.8357, 0.1643, 0.5000)
Br (0.5000, 0.5000, 0.5000)
Br (0.1643, 0.8357, 0.5000)
Nd (0.2955, 0.2955, 0.8009)
Nd (0.7045, 0.7045, 0.1991)
Nd (0.4286, 0.0667, 0.2007)
Nd (0.9333, 0.5714, 0.7993)
Nd (0.5714, 0.9333, 0.7993)
Nd (0.0667, 0.4286, 0.2007)
Cl (0.0000, 0.0000, 0.0000)
Os (0.3331, 0.6669, 0.0000)
Os (0.6669, 0.3331, 0.0000)

Calculated values
crystal system = monoclinic
DFT total energy = -5.79 eV/atom
raw formation energy = -0.964 eV per atom
density = 7.07 g/cm3
total magnetization = 0.000 μB/atom



[2]
Tb2Pm2NdTm2 after structural relaxation. Source: Alexandria via LeMat-Bulk, functional PBE.

Cell: 3.5016 6.0275 11.8418 Å, 101.36 90.00 106.89°
Fractional coordinates of all 7 atoms:
Tm (0.2965, 0.5931, 0.6289)
Tm (0.7035, 0.4069, 0.3711)
Pm (0.4059, 0.8118, 0.2262)
Pm (0.5941, 0.1882, 0.7738)
Nd (0.0000, 0.0000, 0.5000)
Tb (0.6536, 0.3072, 0.0716)
Tb (0.3464, 0.6928, 0.9284)

Calculated values
crystal system = monoclinic
DFT total energy = -4.49 eV/atom
density = 7.73 g/cm3
calculated formation energy = 0.1502 eV/atom
total magnetization = 0.000 μB/atom



[3]
KTcNi after structural relaxation. Source: Alexandria via LeMat-Bulk, functional PBE.

Cell: 4.6389 11.5795 3.0270 Å, 89.35 109.00 97.43°
Fractional coordinates of all 6 atoms:
K (0.5075, 0.6002, 0.5739)
K (0.8637, 0.2280, 0.2198)
Ni (0.0258, 0.7855, 0.3203)
Ni (0.3450, 0.0429, 0.4686)
Tc (0.4639, 0.8857, 0.0357)
Tc (0.9069, 0.9427, 0.7538)

Calculated values
crystal system = triclinic
DFT total energy = -5.23 eV/atom
density = 4.27 g/cm3
calculated formation energy = 0.5183 eV/atom
energy above the most stable polymorph in this dataset = 0.093 eV per atom
total magnetization = 0.000 μB/atom



[4]
KLi2CuSi after structural relaxation. Source: Alexandria via LeMat-Bulk, functional PBE.

Cell: 5.0231 5.0231 4.5586 Å, 90.00 90.00 90.00°
Fractional coordinates of all 5 atoms:
Li (0.5000, 0.0000, 0.0000)
Li (0.0000, 0.5000, 0.0000)
Cu (0.0000, 0.0000, 0.5000)
K (0.5000, 0.5000, 0.5000)
Si (0.0000, 0.0000, 0.0000)

Calculated values
crystal system = tetragonal
DFT total energy = -2.91 eV/atom
raw formation energy = -0.025 eV per atom
density = 2.09 g/cm3
total magnetization = 0.000 μB/atom



[5]
ZrCoOs4 after structural relaxation. Source: Alexandria via LeMat-Bulk, functional PBE.

Cell: 5.1613 5.1613 5.1613 Å, 60.00 60.00 60.00°
Fractional coordinates of all 6 atoms:
Os (0.1231, 0.6256, 0.6256)
Os (0.6256, 0.6256, 0.1231)
Os (0.6256, 0.1231, 0.6256)
Os (0.6256, 0.6256, 0.6256)
Co (0.0000, 0.0000, 0.0000)
Zr (0.2500, 0.2500, 0.2500)

Calculated values
crystal system = cubic
DFT total energy = -9.87 eV/atom
density = 15.56 g/cm3
calculated formation energy = 0.2299 eV/atom
total magnetization = 0.496 μB/atom



[6]
DyEr12C7 after structural relaxation. Source: Alexandria via LeMat-Bulk, functional PBE.

Cell: 8.0362 8.0362 8.0362 Å, 107.68 107.68 107.68°
Fractional coordinates of all 20 atoms:
C (0.1166, 0.0416, 0.3556)
C (0.3556, 0.1166, 0.0416)
C (0.0416, 0.3556, 0.1166)
C (0.5000, 0.5000, 0.5000)
C (0.9584, 0.6444, 0.8834)
C (0.8834, 0.9584, 0.6444)
C (0.6444, 0.8834, 0.9584)
Er (0.7860, 0.9299, 0.3090)
Er (0.6911, 0.2140, 0.0701)
Er (0.5568, 0.8404, 0.6254)
Er (0.3090, 0.7860, 0.9299)
Er (0.2140, 0.0701, 0.6911)
Er (0.6254, 0.5568, 0.8404)
Er (0.0701, 0.6911, 0.2140)
Er (0.3746, 0.4432, 0.1596)
Er (0.8404, 0.6254, 0.5568)
Er (0.1596, 0.3746, 0.4432)
Er (0.9299, 0.3090, 0.7860)
Er (0.4432, 0.1596, 0.3746)
Dy (0.0000, 0.0000, 0.0000)

Calculated values
crystal system = trigonal
DFT total energy = -6.47 eV/atom
density = 8.83 g/cm3
calculated formation energy = -0.2777 eV/atom
total magnetization = 0.001 μB/atom